First-principles (PBE) data for a relaxed structure of K2LaMnPd, as listed in Alexandria.

Structure (POSCAR):
```
K2LaMnPd
1.0
-0.700 5.940 0.916
-0.857 0.631 -4.749
-5.915 -0.845 0.955
K Mn Pd La
2 1 1 1
direct
0.000 0.000 0.500
0.500 0.000 0.000
0.000 0.000 0.000
0.000 0.500 0.000
0.500 0.500 0.500
```

Properties
- Density: 3.53 g/cm³
- Total moment: 3.64 μB per formula unit
- Formation energy: 0.810 eV/atom
- Electronic total energy: -3.487 eV/atom

=====

First-principles (PBE) data for a relaxed structure of KLaMnPt2, as listed in Alexandria.

Structure (POSCAR):
```
KLaMnPt2
1.0
-2.823 -0.232 -4.457
3.347 -2.467 -1.991
-2.285 -4.455 1.679
K Mn Pt La
1 1 2 1
direct
0.000 0.000 0.000
0.000 0.500 0.000
0.000 0.000 0.500
0.500 0.000 0.000
0.500 0.500 0.500
```

Properties
- Density: 8.05 g/cm³
- Total moment: 4.12 μB per formula unit
- Formation energy: 1.006 eV/atom
- Electronic total energy: -4.450 eV/atom

=====

First-principles (PBE) data for a relaxed structure of K3La2MnS6, as listed in Alexandria.

Structure (POSCAR):
```
K3La2MnS6
1.0
7.146 -0.045 0.003
-3.610 6.167 0.003
-1.176 -2.037 7.366
K La Mn S
3 2 1 6
direct
0.167 0.833 0.500
0.833 0.167 0.500
0.500 0.500 0.500
0.331 0.669 0.000
0.669 0.331 0.000
0.000 0.000 0.000
0.929 0.618 0.794
0.778 0.778 0.184
0.071 0.382 0.206
0.618 0.929 0.794
0.222 0.222 0.816
0.382 0.071 0.206
```

Properties
- Density: 3.30 g/cm³
- Total moment: 4.00 μB per formula unit
- Electronic total energy: -5.398 eV/atom
- Formation energy from raw total energies: -1475 meV per atom

=====

First-principles (PBE) data for a relaxed structure of K3La3MnTe8, as listed in Alexandria.

Structure (POSCAR):
```
K3La3MnTe8
1.0
9.138 -0.003 0.001
-4.571 7.914 -0.035
0.003 -5.241 8.405
K La Mn Te
3 3 1 8
direct
0.000 0.000 0.000
0.000 0.500 0.000
0.500 0.500 0.000
0.500 0.000 0.500
0.500 0.500 0.500
0.000 0.500 0.500
0.000 0.000 0.500
0.260 0.521 0.281
0.740 0.479 0.719
0.790 0.581 0.307
0.210 0.419 0.693
0.790 0.017 0.307
0.210 0.983 0.693
0.226 0.017 0.307
0.774 0.983 0.693
```

Properties
- Density: 4.41 g/cm³
- Total moment: 2.98 μB per formula unit
- Electronic total energy: -4.636 eV/atom
- Formation energy from raw total energies: -1145 meV per atom

=====

First-principles (PBE) data for a relaxed structure of K3La2MnTe6, as listed in Alexandria.

Structure (POSCAR):
```
K3La2MnTe6
1.0
7.926 -0.032 -0.002
-3.988 6.849 -0.002
-1.315 -2.278 8.213
K La Mn Te
3 2 1 6
direct
0.172 0.828 0.500
0.828 0.172 0.500
0.500 0.500 0.500
0.333 0.667 0.000
0.667 0.333 0.000
0.000 0.000 0.000
0.930 0.623 0.792
0.772 0.772 0.199
0.070 0.377 0.208
0.623 0.930 0.792
0.228 0.228 0.801
0.377 0.070 0.208
```

Properties
- Density: 4.54 g/cm³
- Total moment: 3.99 μB per formula unit
- Electronic total energy: -4.533 eV/atom
- Formation energy from raw total energies: -1102 meV per atom

=====

First-principles (PBE) data for a relaxed structure of KLaMo2, as listed in Alexandria.

Structure (POSCAR):
```
KLaMo2
1.0
-3.835 1.730 -0.355
-1.634 -3.153 2.283
-0.989 5.047 10.165
Mo K La
4 2 2
direct
0.054 0.125 0.250
0.696 0.625 0.250
0.375 0.946 0.750
0.875 0.304 0.750
0.500 0.500 0.000
0.250 0.750 0.500
0.000 0.000 0.000
0.750 0.250 0.500
```

Properties
- Density: 6.27 g/cm³
- Total moment: 0.00 μB per formula unit
- Formation energy: 1.459 eV/atom
- Offset from the most stable computed form: 877 meV per atom
- Electronic total energy: -5.463 eV/atom

=====

First-principles (PBE) data for a relaxed structure of KLa3Mo, as listed in Alexandria.

Structure (POSCAR):
```
KLa3Mo
1.0
-2.654 -0.620 4.810
-4.328 -2.171 -2.668
2.188 -5.047 0.557
Mo K La
1 1 3
direct
0.500 0.500 0.500
0.000 0.000 0.000
0.000 0.500 0.000
0.000 0.000 0.500
0.500 0.000 0.000
```

Properties
- Density: 5.42 g/cm³
- Total moment: 3.69 μB per formula unit
- Formation energy: 1.690 eV/atom
- Offset from the most stable computed form: 1332 meV per atom
- Electronic total energy: -3.653 eV/atom

=====

First-principles (PBE) data for a relaxed structure of KLaMo2, as listed in Alexandria.

Structure (POSCAR):
```
KLaMo2
1.0
5.338 0.000 0.000
0.000 2.950 0.140
0.000 2.172 7.643
K La Mo
1 1 2
direct
0.500 0.250 0.250
0.500 0.750 0.750
0.000 0.003 0.895
0.000 0.497 0.605
```

Properties
- Density: 5.17 g/cm³
- Total moment: 0.00 μB per formula unit
- Formation energy: 0.942 eV/atom
- Offset from the most stable computed form: 359 meV per atom
- Electronic total energy: -5.980 eV/atom